Entry 1:
Material: Cs2MgRh
Method: DFT, GGA-PBE
State: relaxed

Results
**Crystal system**: cubic
**ΔE to the lowest computed polymorph**: 481 meV per atom
**Total energy**: -1.8443 eV/atom

abc: 8.4502 8.4502 8.4502
angles: 90.00 90.00 90.00
Space group Fm-3m (No. 225)
Asymmetric unit:
1 Cs 0.2500 0.2500 0.2500 [8 per cell]
2 Mg 0.0000 0.0000 0.0000 [4 per cell]
3 Rh 0.0000 0.0000 0.5000 [4 per cell]

Entry 2:
Material: CsMg2Rh
Method: DFT, GGA-PBE
State: relaxed

Results
**Crystal system**: cubic
**ΔE to the lowest computed polymorph**: 339 meV per atom
**Total energy**: -2.2780 eV/atom

abc: 7.4247 7.4247 7.4247
angles: 90.00 90.00 90.00
Space group Fm-3m (No. 225)
Asymmetric unit:
1 Cs 0.0000 0.0000 0.0000 [4 per cell]
2 Mg 0.2500 0.2500 0.2500 [8 per cell]
3 Rh 0.0000 0.0000 0.5000 [4 per cell]

Entry 3:
Material: CsMgRh3
Method: DFT, GGA-PBE
State: relaxed

Results
**Crystal system**: cubic
**Total energy**: -3.8191 eV/atom

abc: 4.8943 4.8943 4.8943
angles: 90.00 90.00 90.00
Space group Pm-3m (No. 221)
Asymmetric unit:
1 Cs 0.0000 0.0000 0.0000 [1 per cell]
2 Mg 0.5000 0.5000 0.5000 [1 per cell]
3 Rh 0.0000 0.5000 0.5000 [3 per cell]